Record 1
VASP calculation (PBE) on crystalline PmPr6Hg at its relaxed geometry.

abc: 6.682 6.702 9.032
angles: 111.52 90.16 119.72
Space group P-1 (No. 2)
Unique sites:
Pm 0.000 0.000 0.000 x1
Pr 0.073 0.532 0.218 x2
Pr 0.309 0.244 0.780 x2
Pr 0.467 0.153 0.218 x2
Hg 0.500 0.000 0.500 x1

Computed properties:
Energy of formation in eV per atom: 0.33
M_tot in μB per formula unit: 0.00
Total DFT energy (no corrections) in Ry/atom: -0.2857
Relative energy among the computed polymorphs in eV/atom: 0.397

=====

Record 2
VASP calculation (PBE) on crystalline Pm5PrHg6 at its relaxed geometry.

abc: 5.389 7.681 8.516
angles: 90.00 108.18 90.00
Space group P2/m (No. 10)
Unique sites:
Pm 0.000 0.000 0.000 x1
Pm 0.332 0.500 0.667 x2
Pm 0.333 0.000 0.668 x2
Pr 0.000 0.500 0.000 x1
Hg 0.170 0.248 0.337 x4
Hg 0.500 0.247 0.000 x2

Computed properties:
Energy of formation in eV per atom: -0.47
M_tot in μB per formula unit: 2.70
Total DFT energy (no corrections) in Ry/atom: -0.2207

=====

Record 3
VASP calculation (PBE) on crystalline PmPrHg2 at its relaxed geometry.

abc: 3.8641 3.8641 28.5790
angles: 90.00 90.00 120.00
Space group R-3m (No. 166, hexagonal axes)
Unique sites:
Pm 0.0000 0.0000 0.0000 x3
Pr 0.0000 0.0000 0.5000 x3
Hg 0.0000 0.0000 0.2515 x6

Computed properties:
Energy of formation in eV per atom: -0.32
M_tot in μB per formula unit: 0.00
Total DFT energy (no corrections) in Ry/atom: -0.2095
Relative energy among the computed polymorphs in eV/atom: 0.158

=====

Record 4
VASP calculation (PBE) on crystalline PmPrHg2 at its relaxed geometry.

abc: 7.681 7.681 7.681
angles: 90.00 90.00 90.00
Space group Fm-3m (No. 225)
Unique sites:
Pm 0.000 0.000 0.000 x4
Pr 0.000 0.000 0.500 x4
Hg 0.250 0.250 0.250 x8

Computed properties:
Energy of formation in eV per atom: -0.47
M_tot in μB per formula unit: 0.93
Total DFT energy (no corrections) in Ry/atom: -0.2210
Relative energy among the computed polymorphs in eV/atom: 0.001

=====

Record 5
VASP calculation (PBE) on crystalline PmPr2Hg8 at its relaxed geometry.

abc: 16.216 5.125 7.355
angles: 90.00 110.35 90.00
Space group C2/m (No. 12)
Unique sites:
Pm 0.000 0.000 0.000 x2
Pr 0.208 0.500 0.653 x4
Hg 0.019 0.500 0.728 x4
Hg 0.093 0.000 0.453 x4
Hg 0.152 0.500 0.166 x4
Hg 0.170 0.000 0.895 x4

Computed properties:
Energy of formation in eV per atom: -0.36
M_tot in μB per formula unit: 0.00
Total DFT energy (no corrections) in Ry/atom: -0.1383
Relative energy among the computed polymorphs in eV/atom: 0.000

=====

Record 6
VASP calculation (PBE) on crystalline Pm3PrHg at its relaxed geometry.

abc: 30.220 3.735 5.715
angles: 90.00 90.25 90.00
Space group C2/m (No. 12)
Unique sites:
Pm 0.048 0.000 0.235 x4
Pm 0.127 0.000 0.746 x4
Pm 0.158 0.500 0.249 x4
Pr 0.233 0.500 0.749 x4
Hg 0.041 0.500 0.726 x4

Computed properties:
Energy of formation in eV per atom: -0.17
M_tot in μB per formula unit: 0.00
Total DFT energy (no corrections) in Ry/atom: -0.2966

=====

Record 7
VASP calculation (PBE) on crystalline PmPr4Hg5 at its relaxed geometry.

abc: 3.860 3.860 19.238
angles: 90.00 90.00 90.00
Space group P4/mmm (No. 123)
Unique sites:
Pm 0.000 0.000 0.000 x1
Pr 0.000 0.000 0.198 x2
Pr 0.000 0.000 0.399 x2
Hg 0.500 0.500 0.096 x2
Hg 0.500 0.500 0.299 x2
Hg 0.500 0.500 0.500 x1

Computed properties:
Energy of formation in eV per atom: -0.47
M_tot in μB per formula unit: 2.32
Total DFT energy (no corrections) in Ry/atom: -0.2213

=====

Record 8
VASP calculation (PBE) on crystalline PmPr2Hg2 at its relaxed geometry.

abc: 3.860 5.490 14.271
angles: 90.00 97.80 90.00
Space group P2_1/m (No. 11)
Unique sites:
Pm 0.146 0.250 0.290 x2
Pr 0.047 0.750 0.092 x2
Pr 0.233 0.750 0.470 x2
Hg 0.358 0.250 0.716 x2
Hg 0.447 0.750 0.897 x2

Computed properties:
Energy of formation in eV per atom: -0.37
M_tot in μB per formula unit: 0.58
Total DFT energy (no corrections) in Ry/atom: -0.2465
Relative energy among the computed polymorphs in eV/atom: 0.000

=====

Record 9
VASP calculation (PBE) on crystalline PmPr2Hg8 at its relaxed geometry.

abc: 5.259 7.494 14.882
angles: 90.00 90.00 90.00
Space group Immm (No. 71)
Unique sites:
Pm 0.000 0.000 0.000 x2
Pr 0.000 0.000 0.307 x4
Hg 0.000 0.214 0.500 x4
Hg 0.000 0.290 0.145 x8
Hg 0.000 0.500 0.343 x4

Computed properties:
Energy of formation in eV per atom: -0.35
M_tot in μB per formula unit: 0.00
Total DFT energy (no corrections) in Ry/atom: -0.1375
Relative energy among the computed polymorphs in eV/atom: 0.012

=====

Record 10
VASP calculation (PBE) on crystalline Pm4PrHg4 at its relaxed geometry.

abc: 9.687 9.687 5.717
angles: 90.00 90.00 90.00
Space group P4_2/n (No. 86, origin choice 2)
Unique sites:
Pm 0.095 0.838 0.154 x8
Pr 0.250 0.250 0.750 x2
Hg 0.045 0.146 0.346 x8

Computed properties:
Energy of formation in eV per atom: -0.27
M_tot in μB per formula unit: 0.00
Total DFT energy (no corrections) in Ry/atom: -0.2237

=====

Record 11
VASP calculation (PBE) on crystalline PmPr2Hg at its relaxed geometry.

abc: 3.774 3.774 9.040
angles: 90.00 90.00 90.00
Space group P4/mmm (No. 123)
Unique sites:
Pm 0.000 0.000 0.000 x1
Pr 0.500 0.500 0.278 x2
Hg 0.000 0.000 0.500 x1

Computed properties:
Energy of formation in eV per atom: -0.23
M_tot in μB per formula unit: 0.00
Total DFT energy (no corrections) in Ry/atom: -0.2851
Relative energy among the computed polymorphs in eV/atom: 0.000

=====

Record 12
VASP calculation (PBE) on crystalline PmPr3Hg12 at its relaxed geometry.

abc: 4.689 4.689 19.129
angles: 90.00 90.00 90.00
Space group P4/mmm (No. 123)
Unique sites:
Pm 0.000 0.000 0.000 x1
Pr 0.000 0.000 0.249 x2
Pr 0.000 0.000 0.500 x1
Hg 0.000 0.500 0.123 x4
Hg 0.000 0.500 0.374 x4
Hg 0.500 0.500 0.000 x1
Hg 0.500 0.500 0.249 x2
Hg 0.500 0.500 0.500 x1

Computed properties:
Energy of formation in eV per atom: -0.35
M_tot in μB per formula unit: 0.00
Total DFT energy (no corrections) in Ry/atom: -0.1302